NdMgH PBE optimized geometry; final energy = -3.26 eV per atom
1.0
3.304 0.000 0.000
0.000 3.304 0.000
-1.652 -1.652 6.127
H Mg Nd
1 1 1
direct
0.257 0.257 0.514
0.014 0.014 0.028
0.729 0.729 0.459